DFT (GGA-PBE) results for Fe5CoPt4 after structural relaxation.

Cell lengths 2.7069, 3.6729, 13.5953 Å; angles 90.00, 90.00, 90.00 degrees
Closest atoms and distances in Å follow each position.
Element x y z (fractional)
Fe1 0.0000 0.0000 0.0000  8 Pt 2.67, 4 Fe 2.71-2.82
Fe2 0.0000 0.0000 0.2073  8 Pt 2.66-2.69, 4 Fe 2.71-2.82
Fe3 0.0000 0.0000 0.4116  1 Fe 2.40, 4 Co 2.58, 4 Pt 2.68
Fe4 0.0000 0.0000 0.5884  1 Fe 2.40, 4 Co 2.58, 4 Pt 2.68
Fe5 0.0000 0.0000 0.7927  8 Pt 2.66-2.69, 4 Fe 2.71-2.82
Co1 0.5000 0.5000 0.5000  8 Fe 2.58, 2 Pt 2.61, 2 Co 2.71
Pt1 0.5000 0.5000 0.1024  8 Fe 2.67-2.69, 4 Pt 2.71-2.80
Pt2 0.5000 0.5000 0.3081  1 Co 2.61, 8 Fe 2.66-2.68, 3 Pt 2.71-2.80
Pt3 0.5000 0.5000 0.6919  1 Co 2.61, 8 Fe 2.66-2.68, 3 Pt 2.71-2.80
Pt4 0.5000 0.5000 0.8976  8 Fe 2.67-2.69, 4 Pt 2.71-2.80

Calculated values
- crystal system = orthorhombic
- Fermi-level density of states (states/eV/cell) = 8.0
- formation energy from the elements (meV per atom) = -178
- space group = No. 47
- raw total energy (eV per atom) = -7.537

---

DFT (GGA-PBE) results for Fe2Co3Pt4 after structural relaxation.

Cell lengths 4.6020, 4.6020, 7.9586 Å; angles 105.70, 105.70, 48.97 degrees
Closest atoms and distances in Å follow each position.
Element x y z (fractional)
Fe1 0.1697 0.1697 0.2275  5 Co 2.56-2.72, 7 Pt 2.62-2.71
Fe2 0.8303 0.8303 0.7725  5 Co 2.56-2.72, 7 Pt 2.62-2.71
Co1 0.1653 0.1653 0.5476  3 Fe 2.56-2.70, 6 Pt 2.61-2.73, 3 Co 2.62-2.64
Co2 0.5000 0.5000 0.0000  8 Pt 2.64-2.67, 4 Fe 2.72
Co3 0.8347 0.8347 0.4524  3 Fe 2.56-2.70, 6 Pt 2.61-2.73, 3 Co 2.62-2.64
Pt1 0.1661 0.1661 0.8879  4 Co 2.67-2.71, 4 Fe 2.67-2.69, 4 Pt 2.70-2.71
Pt2 0.4918 0.4918 0.6654  6 Co 2.61-2.73, 3 Fe 2.62-2.71, 3 Pt 2.68-2.71
Pt3 0.5082 0.5082 0.3346  6 Co 2.61-2.73, 3 Fe 2.62-2.71, 3 Pt 2.68-2.71
Pt4 0.8339 0.8339 0.1121  4 Co 2.67-2.71, 4 Fe 2.67-2.69, 4 Pt 2.70-2.71

Calculated values
- crystal system = monoclinic
- Fermi-level density of states (states/eV/cell) = 8.2
- formation energy from the elements (meV per atom) = -148
- space group = No. 12
- raw total energy (eV per atom) = -7.082

---

DFT (GGA-PBE) results for FeCoPt5 after structural relaxation.

Cell lengths 6.1265, 6.1265, 6.1265 Å; angles 130.51, 88.85, 111.75 degrees
Closest atoms and distances in Å follow each position.
Element x y z (fractional)
Fe1 0.0000 0.0000 0.0000  5 Pt 2.49-2.53, 2 Co 2.57
Co1 0.0279 0.5279 0.5000  2 Fe 2.57, 2 Pt 2.65
Pt1 0.3681 0.3681 0.0000  4 Pt 2.46-2.56, 1 Fe 2.53
Pt2 0.4340 0.1904 0.2436  3 Pt 2.46-2.58, 1 Fe 2.50
Pt3 0.6901 0.4387 0.7487  1 Fe 2.49, 5 Pt 2.55-2.58, 1 Co 2.65
Pt4 0.6901 0.9414 0.2513  1 Fe 2.49, 5 Pt 2.55-2.58, 1 Co 2.65
Pt5 0.9468 0.1904 0.7564  3 Pt 2.46-2.58, 1 Fe 2.50

Calculated values
- crystal system = orthorhombic
- Fermi-level density of states (states/eV/cell) = 8.6
- formation energy from the elements (meV per atom) = 785
- space group = No. 44
- raw total energy (eV per atom) = -5.754

---

DFT (GGA-PBE) results for Fe2CoPt8 after structural relaxation.

Cell lengths 7.2691, 7.2691, 6.1881 Å; angles 105.37, 105.37, 31.20 degrees
Closest atoms and distances in Å follow each position.
Element x y z (fractional)
Fe1 0.2251 0.2251 0.1424  10 Pt 2.69-2.76, 2 Fe 2.84
Fe2 0.7749 0.7749 0.8576  10 Pt 2.69-2.76, 2 Fe 2.84
Co1 0.5000 0.5000 0.5000  12 Pt 2.72-2.79
Pt1 0.0462 0.0462 0.2304  1 Fe 2.71, 9 Pt 2.73-2.83, 2 Co 2.76
Pt2 0.1397 0.1397 0.6922  7 Pt 2.70-2.80, 3 Fe 2.71-2.72, 2 Co 2.79
Pt3 0.3195 0.3195 0.5864  3 Fe 2.70-2.76, 1 Co 2.72, 8 Pt 2.73-2.77
Pt4 0.4023 0.4023 0.0481  3 Fe 2.69-2.70, 8 Pt 2.70-2.96, 1 Co 2.75
Pt5 0.5977 0.5977 0.9519  3 Fe 2.69-2.70, 8 Pt 2.70-2.96, 1 Co 2.75
Pt6 0.6805 0.6805 0.4136  3 Fe 2.70-2.76, 1 Co 2.72, 8 Pt 2.73-2.77
Pt7 0.8603 0.8603 0.3078  7 Pt 2.70-2.80, 3 Fe 2.71-2.72, 2 Co 2.79
Pt8 0.9538 0.9538 0.7696  1 Fe 2.71, 9 Pt 2.73-2.83, 2 Co 2.76

Calculated values
- crystal system = monoclinic
- Fermi-level density of states (states/eV/cell) = 12.6
- formation energy from the elements (meV per atom) = -151
- space group = No. 12
- raw total energy (eV per atom) = -6.729

---

DFT (GGA-PBE) results for Fe3Co2Pt after structural relaxation.

Cell lengths 6.8777, 6.8777, 4.9797 Å; angles 90.00, 90.00, 41.14 degrees
Closest atoms and distances in Å follow each position.
Element x y z (fractional)
Fe1 0.1887 0.8113 0.7500  4 Pt 2.41-2.56, 4 Co 2.47
Fe2 0.2969 0.3331 0.7500  4 Co 2.46-2.68, 2 Fe 2.50, 1 Pt 2.58
Fe3 0.3331 0.2969 0.2500  4 Co 2.46-2.68, 2 Fe 2.50, 1 Pt 2.58
Fe4 0.6669 0.7031 0.7500  4 Co 2.46-2.68, 2 Fe 2.50, 1 Pt 2.58
Fe5 0.7031 0.6669 0.2500  4 Co 2.46-2.68, 2 Fe 2.50, 1 Pt 2.58
Fe6 0.8113 0.1887 0.2500  4 Pt 2.41-2.56, 4 Co 2.47
Co1 0.1502 0.1502 0.0000  6 Fe 2.46-2.68, 2 Co 2.49, 2 Pt 2.75
Co2 0.1502 0.1502 0.5000  6 Fe 2.46-2.68, 2 Co 2.49, 2 Pt 2.75
Co3 0.8498 0.8498 0.0000  6 Fe 2.46-2.68, 2 Co 2.49, 2 Pt 2.75
Co4 0.8498 0.8498 0.5000  6 Fe 2.46-2.68, 2 Co 2.49, 2 Pt 2.75
Pt1 0.3127 0.6873 0.2500  6 Fe 2.41-2.58
Pt2 0.6873 0.3127 0.7500  6 Fe 2.41-2.58

Calculated values
- crystal system = orthorhombic
- Fermi-level density of states (states/eV/cell) = 15.8
- formation energy from the elements (meV per atom) = 141
- space group = No. 63
- raw total energy (eV per atom) = -7.466

---

DFT (GGA-PBE) results for FeCo2Pt6 after structural relaxation.

Cell lengths 4.7136, 4.7136, 8.1850 Å; angles 106.15, 106.15, 48.64 degrees
Closest atoms and distances in Å follow each position.
Element x y z (fractional)
Fe1 0.0000 0.0000 0.0000  8 Pt 2.62-2.74, 4 Co 2.74
Co1 0.3336 0.3336 0.7785  10 Pt 2.65-2.77, 2 Fe 2.74
Co2 0.6664 0.6664 0.2215  10 Pt 2.65-2.77, 2 Fe 2.74
Pt1 0.0009 0.0009 0.6806  1 Fe 2.62, 3 Co 2.68-2.72, 7 Pt 2.72-2.81
Pt2 0.3321 0.3321 0.4435  9 Pt 2.72-2.81, 3 Co 2.74
Pt3 0.3351 0.3351 0.1027  4 Co 2.65-2.77, 3 Fe 2.68-2.74, 5 Pt 2.69-2.80
Pt4 0.6649 0.6649 0.8973  4 Co 2.65-2.77, 3 Fe 2.68-2.74, 5 Pt 2.69-2.80
Pt5 0.6679 0.6679 0.5565  9 Pt 2.72-2.81, 3 Co 2.74
Pt6 0.9991 0.9991 0.3194  1 Fe 2.62, 3 Co 2.68-2.72, 7 Pt 2.72-2.81

Calculated values
- crystal system = monoclinic
- Fermi-level density of states (states/eV/cell) = 9.6
- formation energy from the elements (meV per atom) = -131
- space group = No. 12
- raw total energy (eV per atom) = -6.677